# 1
Ho4Zn2Ag | PBE-GGA | relaxed

Calculated values
- Fermi-level density of states (states/eV/atom) = 1.0759
- polymorph energy (0 for the lowest one) (meV/atom) = 0.0
- E_tot (Ry per atom) = -0.262
- mass density (g/cm³) = 8.49
- total moment (μB per cell) = 0.00

Cell lengths 5.0127, 5.0127, 8.5798 Å; angles 73.02, 73.02, 60.00 degrees
Last column: nearest neighbours and their distance in Å.
Element x y z (fractional)
Zn 0.7493 0.7493 0.7520  8 Ho 2.96-3.13
Ho 0.1286 0.1286 0.6141  4 Zn 2.96-3.10, 1 Ag 3.12
Ho 0.6201 0.6201 0.1396  4 Zn 3.02-3.13, 3 Ag 3.11
Ho 0.3799 0.3799 0.8604  4 Zn 3.02-3.13, 3 Ag 3.11
Zn 0.2507 0.2507 0.2480  8 Ho 2.96-3.13
Ho 0.8714 0.8714 0.3859  4 Zn 2.96-3.10, 1 Ag 3.12
Ag 0.0000 0.0000 0.0000  8 Ho 3.11-3.12


# 2
Ho3Zn2Ag | PBE-GGA | relaxed

Calculated values
- Fermi-level density of states (states/eV/atom) = 0.7804
- E_tot (Ry per atom) = -0.260
- mass density (g/cm³) = 8.92
- total moment (μB per cell) = 0.00

Cell lengths 3.5718, 3.5718, 10.7064 Å; angles 90.00, 90.00, 90.00 degrees
Last column: nearest neighbours and their distance in Å.
Element x y z (fractional)
Ag 0.5000 0.5000 0.5000  8 Ho 3.14
Zn 0.5000 0.5000 0.8390  8 Ho 3.06-3.08
Zn 0.5000 0.5000 0.1610  8 Ho 3.06-3.08
Ho 0.0000 0.0000 0.0000  8 Zn 3.06
Ho 0.0000 0.0000 0.6736  4 Zn 3.08, 4 Ag 3.14
Ho 0.0000 0.0000 0.3264  4 Zn 3.08, 4 Ag 3.14


# 3
Ho6Zn2Ag | PBE-GGA | relaxed

Calculated values
- Fermi-level density of states (states/eV/atom) = 1.0856
- polymorph energy (0 for the lowest one) (meV/atom) = 0.0
- E_tot (Ry per atom) = -0.282
- mass density (g/cm³) = 8.70
- total moment (μB per cell) = 0.00

Cell lengths 8.4808, 8.4808, 8.4808 Å; angles 108.76, 111.49, 108.18 degrees
Last column: nearest neighbours and their distance in Å.
Element x y z (fractional)
Ho 0.8022 0.2504 0.0526  2 Zn 2.93-3.13, 2 Ag 3.11
Ho 0.5556 0.7338 0.8218  3 Zn 3.14-3.18, 1 Ag 3.15, 1 Ho 3.40
Ho 0.2836 0.6055 0.3218  3 Zn 2.89-3.07
Zn 0.5000 0.3739 0.8739  1 Zn 2.49
Ho 0.7164 0.3945 0.6782  3 Zn 2.89-3.07
Ho 0.1978 0.7496 0.9474  2 Zn 2.93-3.13, 2 Ag 3.11
Zn 0.3629 0.0000 0.3629  1 Zn 2.62, 2 Ho 2.93
Ag 0.0000 0.0000 0.0000  8 Ho 3.11-3.15, 2 Zn 3.46
Ho 0.8022 0.7496 0.5518  2 Zn 2.93-3.13, 2 Ag 3.11
Ho 0.0880 0.2662 0.8218  3 Zn 3.14-3.18, 1 Ag 3.15, 1 Ho 3.40
Ho 0.1978 0.2504 0.4482  2 Zn 2.93-3.13, 2 Ag 3.11
Ho 0.4444 0.2662 0.1782  3 Zn 3.14-3.18, 1 Ag 3.15, 1 Ho 3.40
Ho 0.9120 0.7338 0.1782  3 Zn 3.14-3.18, 1 Ag 3.15, 1 Ho 3.40
Zn 0.5000 0.6261 0.1261  1 Zn 2.49
Ho 0.7164 0.0382 0.3218  3 Zn 2.89-3.07
Ho 0.2836 0.9618 0.6782  3 Zn 2.89-3.07
Zn 0.6371 0.0000 0.6371  1 Zn 2.62, 2 Ho 2.93
Ag 0.0000 0.5000 0.5000  8 Ho 3.11-3.33


# 4
HoZn4Ag8 | PBE-GGA | relaxed

Calculated values
- Fermi-level density of states (states/eV/atom) = 0.3935
- E_tot (Ry per atom) = -0.193
- mass density (g/cm³) = 9.27
- total moment (μB per cell) = 0.00

Cell lengths 5.2817, 7.1225, 7.1225 Å; angles 82.10, 68.24, 68.24 degrees
Last column: nearest neighbours and their distance in Å.
Element x y z (fractional)
Ag 0.5000 0.2145 0.7855  4 Zn 2.71, 4 Ag 2.84-2.91
Ag 0.0000 0.6545 0.3455  4 Zn 2.83, 5 Ag 2.89-3.04
Zn 0.0000 0.0000 0.5000  2 Zn 2.64, 8 Ag 2.71-2.83
Ag 0.5000 0.7855 0.2145  4 Zn 2.71, 4 Ag 2.84-2.91
Ag 0.7145 0.7855 0.7855  4 Zn 2.71, 4 Ag 2.84-2.91
Ag 0.6545 0.3455 0.3455  4 Zn 2.83, 5 Ag 2.89-3.04
Ag 0.2855 0.2145 0.2145  4 Zn 2.71, 4 Ag 2.84-2.91
Ho 0.0000 0.0000 0.0000  12 Ag 3.23-3.32, 8 Zn 3.56
Ag 0.0000 0.3455 0.6545  4 Zn 2.83, 5 Ag 2.89-3.04
Ag 0.3455 0.6545 0.6545  4 Zn 2.83, 5 Ag 2.89-3.04
Zn 0.5000 0.0000 0.5000  2 Zn 2.64, 8 Ag 2.71-2.83
Zn 0.0000 0.5000 0.0000  2 Zn 2.64, 8 Ag 2.71-2.83
Zn 0.5000 0.5000 0.0000  2 Zn 2.64, 8 Ag 2.71-2.83


# 5
Ho5ZnAg4 | PBE-GGA | relaxed

Calculated values
- Fermi-level density of states (states/eV/atom) = 0.5127
- E_tot (Ry per atom) = -0.286
- mass density (g/cm³) = 9.38
- total moment (μB per cell) = 0.00

Cell lengths 3.5859, 3.5859, 18.1858 Å; angles 90.00, 90.00, 90.00 degrees
Last column: nearest neighbours and their distance in Å.
Element x y z (fractional)
Ho 0.5000 0.5000 0.2975  8 Ag 3.14
Ho 0.5000 0.5000 0.5000  8 Ag 3.13
Zn 0.0000 0.0000 0.0000  8 Ho 3.07
Ho 0.5000 0.5000 0.0956  4 Zn 3.07, 4 Ag 3.13
Ag 0.0000 0.0000 0.6006  8 Ho 3.13-3.14
Ho 0.5000 0.5000 0.7025  8 Ag 3.14
Ag 0.0000 0.0000 0.3994  8 Ho 3.13-3.14
Ho 0.5000 0.5000 0.9044  4 Zn 3.07, 4 Ag 3.13
Ag 0.0000 0.0000 0.8039  8 Ho 3.13-3.14
Ag 0.0000 0.0000 0.1961  8 Ho 3.13-3.14


# 6
Ho3Zn4Ag4 | PBE-GGA | relaxed

Calculated values
- Fermi-level density of states (states/eV/atom) = 0.7250
- E_tot (Ry per atom) = -0.222
- mass density (g/cm³) = 8.84
- total moment (μB per cell) = 0.00

Cell lengths 3.4742, 4.5686, 14.3511 Å; angles 80.62, 83.03, 89.96 degrees
Last column: nearest neighbours and their distance in Å.
Element x y z (fractional)
Ho 0.1401 0.6408 0.7199  6 Zn 3.15-3.18, 6 Ag 3.15-3.24, 2 Ho 3.47
Zn 0.3134 0.8130 0.3738  5 Ag 2.64-2.75
Ag 0.7375 0.7375 0.5257  4 Zn 2.68-2.75, 4 Ag 2.95-2.97
Zn 0.4556 0.4548 0.0904  1 Zn 2.54, 2 Ag 2.65
Ag 0.5931 0.0939 0.8138  3 Zn 2.64-2.65
Ag 0.4069 0.9061 0.1862  3 Zn 2.64-2.65
Zn 0.6867 0.1871 0.6262  5 Ag 2.64-2.75
Ag 0.2625 0.2625 0.4743  4 Zn 2.68-2.75, 4 Ag 2.95-2.97
Zn 0.5444 0.5453 0.9096  1 Zn 2.54, 2 Ag 2.65
Ho 0.8599 0.3593 0.2801  6 Zn 3.15-3.18, 6 Ag 3.15-3.24, 2 Ho 3.47
Ho 0.0000 0.0000 0.0000  8 Zn 3.13-3.14, 4 Ag 3.14, 2 Ho 3.47


# 7
Ho4Zn5Ag | PBE-GGA | relaxed

Calculated values
- Fermi-level density of states (states/eV/atom) = 0.8127
- E_tot (Ry per atom) = -0.223
- mass density (g/cm³) = 8.61
- total moment (μB per cell) = 0.00

Cell lengths 3.4965, 3.4965, 17.2719 Å; angles 90.00, 90.00, 90.00 degrees
Last column: nearest neighbours and their distance in Å.
Element x y z (fractional)
Zn 0.5000 0.5000 0.2929  8 Ho 3.04-3.05
Zn 0.5000 0.5000 0.9178  1 Zn 2.84, 4 Ag 2.85, 4 Ho 3.09
Ho 0.0000 0.0000 0.8104  8 Zn 3.05-3.09, 1 Ag 3.27
Ho 0.0000 0.0000 0.3957  8 Zn 3.04-3.06
Zn 0.5000 0.5000 0.7071  8 Ho 3.04-3.05
Ho 0.0000 0.0000 0.1896  8 Zn 3.05-3.09, 1 Ag 3.27
Zn 0.5000 0.5000 0.0822  1 Zn 2.84, 4 Ag 2.85, 4 Ho 3.09
Zn 0.5000 0.5000 0.5000  8 Ho 3.06
Ho 0.0000 0.0000 0.6043  8 Zn 3.04-3.06
Ag 0.0000 0.0000 0.0000  8 Zn 2.85


# 8
Ho2Zn4Ag5 | PBE-GGA | relaxed

Calculated values
- Fermi-level density of states (states/eV/atom) = 0.5033
- E_tot (Ry per atom) = -0.202
- mass density (g/cm³) = 8.90
- total moment (μB per cell) = 0.00

Cell lengths 5.4977, 6.7853, 6.7830 Å; angles 77.08, 66.09, 66.10 degrees
Last column: nearest neighbours and their distance in Å.
Element x y z (fractional)
Ho 0.7067 0.2931 0.2934  6 Zn 2.90-3.09
Zn 0.7565 0.9048 0.5822  3 Ag 2.60-2.71, 1 Zn 2.73, 1 Ho 2.90
Zn 0.7566 0.5818 0.9050  3 Ag 2.60-2.72, 1 Zn 2.73, 1 Ho 2.90
Ag 0.2480 0.1814 0.8186  4 Zn 2.71-2.92, 3 Ag 2.73-3.02
Ag 0.7520 0.1814 0.8186  4 Zn 2.71-2.92, 3 Ag 2.73-3.02
Zn 0.2434 0.4182 0.0950  3 Ag 2.60-2.72, 1 Zn 2.73, 1 Ho 2.90
Ag 0.2480 0.8186 0.1814  4 Zn 2.71-2.92, 3 Ag 2.73-3.02
Ho 0.2933 0.7069 0.7066  6 Zn 2.90-3.09
Ag 0.0000 0.5000 0.5000  4 Zn 2.60
Ag 0.7520 0.8186 0.1814  4 Zn 2.71-2.92, 3 Ag 2.73-3.02
Zn 0.2435 0.0952 0.4178  3 Ag 2.60-2.71, 1 Zn 2.73, 1 Ho 2.90